# PBE with a Hubbard U Li3MnV3O8, optimized geometry
data_Li3MnV3O8
_symmetry_space_group_name_H-M 'P 1'
_symmetry_Int_Tables_number 1
_cell_length_a 6.530
_cell_length_b 6.530
_cell_length_c 6.662
_cell_angle_alpha 73.77
_cell_angle_beta 73.77
_cell_angle_gamma 36.44
loop_
_symmetry_equiv_pos_as_xyz
'x,y,z'
loop_
_atom_site_label
_atom_site_fract_x
_atom_site_fract_y
_atom_site_fract_z
O1 0.878 0.878 0.688
Li1 0.062 0.062 0.633
O2 0.763 0.763 0.340
V1 0.391 0.391 0.699
Mn1 0.287 0.287 0.300
V2 0.606 0.606 0.286
O3 0.362 0.362 0.974
Li2 0.822 0.822 0.002
O4 0.657 0.657 0.013
O5 0.105 0.105 0.328
O6 0.442 0.442 0.379
O7 0.232 0.232 0.669
V3 0.707 0.707 0.690
O8 0.561 0.561 0.638
Li3 0.939 0.939 0.367
# VASP energy: -6.9862 eV per atom